Below is an optimized crystal structure of NaSm3Tm2Se6, with properties calculated at the PBE-GGA level.

Unit cell a=7.091 b=7.091 c=7.209 alpha=99.45 beta=99.45 gamma=120.07
Sites, in units of the cell vectors:
Na (0.000, 0.000, 0.000)
Sm (0.161, 0.839, 0.500)
Sm (0.500, 0.500, 0.500)
Sm (0.839, 0.161, 0.500)
Tm (0.334, 0.666, 0.000)
Tm (0.666, 0.334, 0.000)
Se (0.080, 0.418, 0.240)
Se (0.258, 0.258, 0.767)
Se (0.418, 0.080, 0.240)
Se (0.582, 0.920, 0.760)
Se (0.742, 0.742, 0.233)
Se (0.920, 0.582, 0.760)

Values from the calculation:
For the calculated total energy, the calculation gives -5.52 eV/atom. For the total magnetic moment, the calculation gives 0.00 μB/atom. As for the space-group type: C2/m.